[1]
## FeCuI2O (GGA+U)

Data for a relaxed FeCuI2O crystal.

a b c (Å): 5.726 5.726 3.677
angles (deg): 90.00 90.00 90.00
Fractional positions:
I1 0.000 0.500 0.000
I2 0.500 0.000 0.000
O1 0.000 0.000 0.500
Fe1 0.000 0.000 0.000
Cu1 0.500 0.500 0.500

Values from the calculation:
- polymorph energy (0 for the lowest one) (eV per atom) = 0.000
- spin magnetization (μB/f.u.) = 4.995

[2]
## FeCuI2O (GGA+U)

Data for a relaxed FeCuI2O crystal.

a b c (Å): 5.574 5.574 3.682
angles (deg): 90.00 90.00 90.00
Fractional positions:
I1 0.000 0.500 0.000
I2 0.500 0.000 0.000
O1 0.000 0.000 0.500
Fe1 0.500 0.500 0.500
Cu1 0.000 0.000 0.000

Values from the calculation:
- polymorph energy (0 for the lowest one) (eV per atom) = 0.220
- spin magnetization (μB/f.u.) = 4.930

Record-wise volume values, in Å³/atom: 24.1 22.9